VASP calculation (GGA-PBEsol) on a relaxed Ru2RhW crystal.

As for the formation energy: -0.035 eV per atom. As for the total energy: -10.608 eV per atom. The crystal system is tetragonal. Its energy relative to the lowest polymorph listed for this composition is 82 meV/atom.

The structure in extended XYZ format:
```
4
Lattice="-1.7342 -0.4463 -3.4012 1.7150 -3.4134 -0.4265 -2.8999 0.2553 3.6171" Properties=species:S:1:pos:R:3 pbc="T T T"
Ru -0.5973 -2.5440 0.6384
Ru -2.3218 -1.0604 -0.8490
Rh 0.0000 0.0000 0.0000
W -0.0096 -1.9299 -1.9138
```

VASP calculation (GGA-PBEsol) on a relaxed Er2Zr8O19 crystal.

The value obtained for the uncorrected formation energy is -3454 meV per atom. As for the total energy: -9.740 eV per atom. The crystal system is tetragonal.

The structure in extended XYZ format:
```
29
Lattice="-1.8518 1.2699 -2.8161 -3.0127 -0.0164 1.9737 4.8828 24.0896 7.6527" Properties=species:S:1:pos:R:3 pbc="T T T"
Zr 0.7944 9.1222 1.2882
Zr -0.2694 6.0941 2.9254
Zr 0.6951 10.8527 4.4371
Zr 2.7200 18.6223 4.3061
Zr -0.1744 4.3428 -0.2302
Zr 1.6561 15.5941 5.9433
Zr 1.7555 13.8637 2.7944
Zr 2.6249 20.3736 7.4617
O -1.4733 5.3580 1.0818
O 0.0092 12.6716 3.4052
O 4.3368 21.3958 6.7969
O 1.9758 9.7479 3.0967
O 1.5055 7.4273 2.3595
O -1.9598 2.9574 0.3192
O 2.4414 12.0448 3.8263
O 0.5060 15.1227 4.1838
O -0.9821 7.7814 1.8517
O 0.0000 0.0000 0.0000
O 3.3773 16.6622 5.2932
O 2.9070 14.3416 4.5560
O 3.8543 19.0153 6.0407
O 1.4916 19.9852 5.7285
O 1.0285 5.0742 1.6120
O 1.0004 17.5617 4.9587
O -0.4877 10.2204 2.6265
O 0.5460 2.6938 0.8558
O 1.9782 22.3857 6.4911
Er 3.6762 23.3397 5.8047
Er -1.2256 1.3767 1.4268
```

VASP calculation (GGA-PBEsol) on a relaxed AlFeCl2 crystal.

The value obtained for the uncorrected formation energy is 241 meV per atom. As for the total energy: -4.027 eV per atom. The crystal system is tetragonal. Its energy relative to the lowest polymorph listed for this composition is 529 meV/atom.

The structure in extended XYZ format:
```
4
Lattice="3.6572 0.0000 0.0000 0.0000 3.6572 0.0000 -1.8286 -1.8286 5.4696" Properties=species:S:1:pos:R:3 pbc="T T T"
Cl 0.0000 0.0000 0.0000
Cl 1.8286 0.0000 2.7348
Fe 1.8286 1.8286 0.0000
Al 0.0000 1.8286 2.7348
```

VASP calculation (GGA-PBEsol) on a relaxed MnCu2Pt crystal.

As for the formation energy: -0.030 eV per atom. As for the total energy: -6.379 eV per atom. The crystal system is cubic.

The structure in extended XYZ format:
```
4
Lattice="4.1716 0.0000 0.0000 2.0858 3.6127 0.0000 2.0858 1.2042 3.4061" Properties=species:S:1:pos:R:3 pbc="T T T"
Mn 0.0000 0.0000 0.0000
Cu 2.0858 1.2042 0.8515
Cu 6.2574 3.6127 2.5546
Pt 4.1716 2.4085 1.7030
```

VASP calculation (GGA-PBEsol) on a relaxed BaCo2HgTe crystal.

The value obtained for the uncorrected formation energy is 1682 meV per atom. As for the total energy: -2.662 eV per atom. The crystal system is tetragonal.

The structure in extended XYZ format:
```
5
Lattice="4.8508 0.0000 0.0000 0.0000 4.8508 0.0000 0.0000 0.0000 6.4508" Properties=species:S:1:pos:R:3 pbc="T T T"
Co 0.0000 2.4254 0.0000
Co 2.4254 0.0000 0.0000
Ba 0.0000 0.0000 0.0000
Hg 2.4254 2.4254 3.2254
Te 0.0000 0.0000 3.2254
```

VASP calculation (GGA-PBEsol) on a relaxed SiNi2P4O14 crystal.

The value obtained for the uncorrected formation energy is -1958 meV per atom. As for the total energy: -7.420 eV per atom. The crystal system is monoclinic.

The structure in extended XYZ format:
```
42
Lattice="-1.7746 -0.6148 -4.5055 6.0433 -6.3076 1.1246 -10.1056 -4.9665 4.6581" Properties=species:S:1:pos:R:3 pbc="T T T"
O -1.3281 -4.0631 -2.6019
O 2.8451 -6.5739 -0.0757
O 1.2034 -5.5816 -2.7112
O -3.4160 -5.3412 -0.7513
O -4.7532 -4.0340 0.9263
O -0.0180 -2.6231 -0.5148
O -5.6860 -6.3056 1.4912
O -7.0402 -6.3073 3.9885
O -5.3661 -10.0713 4.6357
O -2.9983 -9.8746 4.4237
O -1.0836 -7.8549 0.3509
O -3.5299 -2.7974 -0.7243
O -2.8385 -2.0144 -3.1465
O -8.3470 -7.7822 1.8870
O -5.8188 -9.2658 1.7920
O -0.4708 -1.8176 -3.3585
O 0.4181 -6.3723 2.4692
O 2.5102 -4.1067 -0.6097
O -0.1508 -5.5833 -0.2140
O -6.2549 -5.5166 -1.1920
O -3.6113 -7.9823 0.2223
O -2.3069 -9.0915 2.0015
O 0.7826 -7.8320 -1.1347
O -2.4208 -6.5478 2.0285
O -8.6819 -5.3150 1.3529
O -4.5087 -7.8258 3.8791
O -2.2255 -3.9066 1.0549
O -6.6194 -4.0569 2.4119
P -3.3772 -4.0934 0.1219
P 3.1819 -5.1083 0.3211
P -1.6174 -2.9164 -3.5731
P -9.0187 -6.7807 0.9562
P -5.3522 -4.9429 2.1024
P -4.2194 -8.9726 4.8503
P -2.4596 -7.7955 1.1554
P -0.4847 -6.9460 -0.8252
Ni -4.9514 -6.8056 -0.5564
Ni -6.4692 -7.7505 2.8146
Ni 0.6324 -4.1384 -1.5373
Ni -0.8854 -5.0833 1.8336
Si -3.7070 -1.6507 -1.8330
Si -8.1731 -3.9307 1.9856
```

VASP calculation (GGA-PBEsol) on a relaxed CoPBr2 crystal.

The value obtained for the uncorrected formation energy is -53 meV per atom. As for the total energy: -4.370 eV per atom. The crystal system is monoclinic. Its energy relative to the lowest polymorph listed for this composition is 0 meV/atom.

The structure in extended XYZ format:
```
4
Lattice="3.4035 0.0000 0.0000 0.0000 4.9088 -0.0753 0.0000 -1.9361 4.5577" Properties=species:S:1:pos:R:3 pbc="T T T"
Br 0.0000 -0.0190 0.0997
Br 1.7018 2.5272 1.6166
P 1.7018 0.4405 2.9985
Co 0.0000 0.5424 4.2875
```

VASP calculation (GGA-PBEsol) on a relaxed CdPtAu2 crystal.

As for the formation energy: -0.095 eV per atom. As for the total energy: -4.097 eV per atom. The crystal system is tetragonal.

The structure in extended XYZ format:
```
4
Lattice="-3.2965 -0.0601 0.9592 -0.5623 -2.6587 -2.0989 1.3077 -3.6441 4.2657" Properties=species:S:1:pos:R:3 pbc="T T T"
Cd 0.6625 -1.8461 2.1610
Au 1.3057 -3.6384 4.2591
Au -1.6086 -2.2532 0.4764
Pt -0.9490 -4.0914 2.6282
```

VASP calculation (GGA-PBEsol) on a relaxed KBiPd2 crystal.

As for the formation energy: 0.201 eV per atom. As for the total energy: -4.133 eV per atom. The crystal system is tetragonal.

The structure in extended XYZ format:
```
8
Lattice="-0.1337 3.4081 5.4452 2.6951 -5.8320 0.0821 3.6055 3.4519 -4.0456" Properties=species:S:1:pos:R:3 pbc="T T T"
K 1.2807 -1.2120 2.7636
K 2.3763 2.8240 2.0816
Bi 0.0000 0.0000 0.0000
Bi 3.7906 -1.7961 -0.6000
Pd 3.5615 4.9653 -0.4451
Pd 1.9651 -3.3313 0.5449
Pd 2.5994 0.4932 -0.0161
Pd 4.2078 -0.0713 2.8796
```

VASP calculation (GGA-PBEsol) on a relaxed Na5Nd4Ge4O16F crystal.

The value obtained for the uncorrected formation energy is -2436 meV per atom. As for the total energy: -6.881 eV per atom. The crystal system is tetragonal.

The structure in extended XYZ format:
```
30
Lattice="5.6688 0.0000 0.0000 2.8344 8.4952 0.0000 2.8344 0.0000 8.4952" Properties=species:S:1:pos:R:3 pbc="T T T"
O 5.4471 4.2380 6.0842
O 4.1137 7.4274 1.8668
O 4.1137 1.0678 6.6284
O 5.2015 8.1854 4.6976
O 4.3895 1.8668 1.0678
O 5.2015 0.3099 3.7976
O 3.3017 4.6976 0.3099
O 5.4471 4.2572 2.4111
O 10.0583 6.6284 7.4274
O 8.7249 6.0842 4.2572
O 1.5600 2.1194 1.5315
O 6.9432 6.9638 2.1194
O 7.2288 6.3758 6.9638
O 6.9432 1.5315 6.3758
O 3.0561 2.4111 4.2380
O 8.9705 3.7976 8.1854
Nd 5.5202 5.9809 0.5681
Nd 8.6518 7.9271 5.9809
Nd 5.5202 2.5143 7.9271
Nd 2.9830 0.5681 2.5143
Na 0.0000 0.0000 0.0000
Na 5.5367 2.6148 4.3904
Na 8.6353 4.3904 5.8805
Na 5.5367 5.8805 4.1048
Na 2.9665 4.1048 2.6148
Ge 5.7258 2.9888 1.2282
Ge 8.4462 7.2670 2.9888
Ge 5.7258 5.5064 7.2670
Ge 2.7774 1.2282 5.5064
F 2.8344 0.0000 0.0000
```

VASP calculation (GGA-PBEsol) on a relaxed La2ScW crystal.

As for the formation energy: 0.388 eV per atom. As for the total energy: -7.388 eV per atom. The crystal system is tetragonal. Its energy relative to the lowest polymorph listed for this composition is 0 meV/atom.

The structure in extended XYZ format:
```
4
Lattice="-3.6344 -0.0763 -0.4968 0.0196 -3.6453 0.4162 -1.0209 0.8327 7.3409" Properties=species:S:1:pos:R:3 pbc="T T T"
La -2.0961 -1.6252 2.0359
La -0.9782 0.7979 7.0337
Sc -0.5653 0.4611 4.0649
W -2.5274 -1.2734 5.1371
```

VASP calculation (GGA-PBEsol) on a relaxed ZrAl8Fe4 crystal.

As for the formation energy: -0.435 eV per atom. As for the total energy: -6.410 eV per atom. The crystal system is tetragonal.

The structure in extended XYZ format:
```
13
Lattice="4.9310 0.0000 0.0000 2.4655 6.0112 0.0000 2.4655 0.0000 6.0112" Properties=species:S:1:pos:R:3 pbc="T T T"
Al 4.9310 1.3032 4.7080
Al 4.9310 3.9863 3.9863
Al 7.3965 4.7080 4.7080
Al 4.9310 2.0249 2.0249
Al 2.4655 1.3032 1.3032
Al 2.4655 3.9863 2.0249
Al 2.4655 2.0249 3.9863
Al 4.9310 4.7080 1.3032
Fe 1.2327 3.0056 0.0000
Fe 3.6982 3.0056 0.0000
Fe 3.6982 0.0000 3.0056
Fe 1.2327 0.0000 3.0056
Zr 0.0000 0.0000 0.0000
```